Here is a relaxed Ta2VPbO8 crystal from the Alexandria database. Energies are from GGA+U.

Results
Magnetization: 1.00 μB per formula unit
Density of states at the Fermi level: 0.0 states/eV per cell
Total energy: -8.4365 eV per atom

```
data_Ta2VPbO8
_chemical_formula_sum 'Ta2 V1 Pb1 O8'
_cell_length_a 4.9122
_cell_length_b 4.9241
_cell_length_c 6.5546
_cell_angle_alpha 87.75
_cell_angle_beta 88.26
_cell_angle_gamma 85.59
_space_group_name_H-M_alt 'P -1'
_space_group_IT_number 2
loop_
_space_group_symop_operation_xyz
'x,y,z'
'-x,-y,-z'
loop_
_atom_site_label
_atom_site_fract_x
_atom_site_fract_y
_atom_site_fract_z
Ta1 0.0286 0.0230 0.2408
V1 0.5000 0.5000 0.0000
Pb1 0.5000 0.5000 0.5000
O1 0.1720 0.1618 0.4793
O2 0.1986 0.1959 0.0060
O3 0.2716 0.7001 0.2067
O4 0.3027 0.7158 0.8021
```